Here is ZnCdSeO after structural relaxation from the Open Quantum Materials Database. Energies are from PBE.

a b c (Å): 3.7795 3.7795 11.6689
angles (deg): 90.00 90.00 120.00
Last column: nearest neighbours and their distance in Å.
Fractional coordinates of all 8 atoms:
Zn1 0.0000 0.0000 0.0000  1 O 1.93
Zn2 0.0000 0.0000 0.5000  1 O 1.93
Cd1 0.3333 0.6667 0.2753  3 O 2.29
Cd2 0.6667 0.3333 0.7753  3 O 2.29
Se1 0.3333 0.6667 0.5959  3 Zn 2.45
Se2 0.6667 0.3333 0.0959  3 Zn 2.45
O1 0.0000 0.0000 0.3348  1 Zn 1.93
O2 0.0000 0.0000 0.8348  1 Zn 1.93

Space-group type: P6_3mc
DFT total energy in eV/atom: -3.487